[1]
The following is a PBE calculation of Fe3Cl after structural relaxation, from Alexandria.

Computed properties:
**Formation energy (no corrections)**: 543 meV/atom
**Relative energy among the computed polymorphs**: 390 meV per atom
**Total magnetization**: 8.4 μB/cell
**Calculated volume**: 13.5 Å³ per atom
**Energy**: -25.06 eV per cell

POSCAR file:
```
Fe3Cl
1.0
4.849 -0.024 -0.067
-2.146 4.348 -0.067
-2.146 -3.434 2.668
Fe Cl
3 1
direct
0.500 0.000 0.500 Fe
0.500 0.500 0.000 Fe
0.000 0.500 0.500 Fe
0.000 0.000 0.000 Cl
```



[2]
The following is a PBE calculation of Fe6Cl7 after structural relaxation, from Alexandria.

Computed properties:
**Formation energy (no corrections)**: 340 meV/atom
**Total magnetization**: 7.8 μB/cell
**Calculated volume**: 28.0 Å³ per atom
**Energy**: -59.28 eV per cell

POSCAR file:
```
Fe6Cl7
1.0
-4.718 4.745 8.381
-3.592 -1.411 10.006
1.199 2.924 10.248
Fe Cl
6 7
direct
0.331 0.331 0.331 Fe
0.764 0.764 0.764 Fe
0.843 0.843 0.843 Fe
0.157 0.157 0.157 Fe
0.669 0.669 0.669 Fe
0.236 0.236 0.236 Fe
0.550 0.550 0.057 Cl
0.550 0.057 0.550 Cl
0.450 0.450 0.943 Cl
0.943 0.450 0.450 Cl
0.057 0.550 0.550 Cl
0.500 0.500 0.500 Cl
0.450 0.943 0.450 Cl
```



[3]
The following is a PBE calculation of FeCl after structural relaxation, from Alexandria.

Computed properties:
**Formation energy (no corrections)**: -107 meV/atom
**Total magnetization**: 6.0 μB/cell
**Calculated volume**: 24.2 Å³ per atom
**Energy**: -21.05 eV per cell

POSCAR file:
```
FeCl
1.0
-1.217 -2.551 2.940
2.982 -0.069 1.174
-1.583 5.781 4.360
Fe Cl
2 2
direct
0.500 0.500 0.546 Fe
0.500 0.000 0.787 Fe
0.000 0.500 0.423 Cl
0.000 0.000 0.911 Cl
```



[4]
The following is a PBE calculation of Fe2Cl after structural relaxation, from Alexandria.

Computed properties:
**Formation energy (no corrections)**: -45 meV/atom
**Relative energy among the computed polymorphs**: 0 meV per atom
**Total magnetization**: 11.8 μB/cell
**Calculated volume**: 20.2 Å³ per atom
**Energy**: -37.81 eV per cell

POSCAR file:
```
Fe2Cl
1.0
0.098 -4.007 2.308
1.663 -4.284 -0.527
7.736 0.432 4.228
Fe Cl
4 2
direct
0.158 0.158 0.933 Fe
0.459 0.459 0.869 Fe
0.541 0.541 0.131 Fe
0.842 0.842 0.067 Fe
0.681 0.681 0.318 Cl
0.319 0.319 0.682 Cl
```



[5]
The following is a PBE calculation of FeCl2 after structural relaxation, from Alexandria.

Computed properties:
**Formation energy (no corrections)**: -179 meV/atom
**Total magnetization**: 4.0 μB/cell
**Calculated volume**: 20.1 Å³ per atom
**Energy**: -12.69 eV per cell

POSCAR file:
```
FeCl2
1.0
4.393 0.000 0.000
0.000 4.393 0.000
0.000 0.000 3.117
Cl Fe
2 1
direct
0.500 0.000 0.500 Cl
0.000 0.500 0.500 Cl
0.000 0.000 0.000 Fe
```



[6]
The following is a PBE calculation of FeCl2 after structural relaxation, from Alexandria.

Computed properties:
**Formation energy (no corrections)**: -373 meV/atom
**Total magnetization**: 4.0 μB/cell
**Calculated volume**: 21.8 Å³ per atom
**Energy**: -13.27 eV per cell

POSCAR file:
```
FeCl2
1.0
-5.206 -2.534 -4.160
-1.383 -3.983 -5.749
3.147 1.476 6.224
Fe Cl
1 2
direct
0.000 0.000 0.000 Fe
0.610 0.610 0.000 Cl
0.390 0.390 0.000 Cl
```



[7]
The following is a PBE calculation of FeCl7 after structural relaxation, from Alexandria.

Computed properties:
**Formation energy (no corrections)**: 693 meV/atom
**Total magnetization**: 5.9 μB/cell
**Calculated volume**: 20.5 Å³ per atom
**Energy**: -15.84 eV per cell

POSCAR file:
```
FeCl7
1.0
-1.447 0.100 5.972
0.309 5.269 3.148
-5.158 2.772 1.865
Cl Fe
7 1
direct
0.500 0.500 0.500 Cl
0.000 0.500 0.000 Cl
0.000 0.000 0.500 Cl
0.500 0.000 0.500 Cl
0.500 0.500 0.000 Cl
0.000 0.500 0.500 Cl
0.500 0.000 0.000 Cl
0.000 0.000 0.000 Fe
```



[8]
The following is a PBE calculation of FeCl after structural relaxation, from Alexandria.

Computed properties:
**Formation energy (no corrections)**: -73 meV/atom
**Total magnetization**: 6.6 μB/cell
**Calculated volume**: 19.5 Å³ per atom
**Energy**: -20.91 eV per cell

POSCAR file:
```
FeCl
1.0
8.469 -0.131 0.000
-7.866 3.143 0.000
0.000 0.000 3.052
Fe Cl
2 2
direct
0.560 0.440 0.750 Fe
0.440 0.560 0.250 Fe
0.139 0.861 0.250 Cl
0.861 0.139 0.750 Cl
```



[9]
The following is a PBE calculation of Fe3Cl4 after structural relaxation, from Alexandria.

Computed properties:
**Formation energy (no corrections)**: 411 meV/atom
**Total magnetization**: 10.5 μB/cell
**Calculated volume**: 17.6 Å³ per atom
**Energy**: -29.90 eV per cell

POSCAR file:
```
Fe3Cl4
1.0
-2.816 -2.795 -3.580
2.311 -2.498 4.120
-4.126 0.671 2.722
Fe Cl
3 4
direct
0.500 0.000 0.000 Fe
0.500 0.500 0.000 Fe
0.000 0.500 0.000 Fe
0.333 0.667 0.500 Cl
0.000 0.000 0.251 Cl
0.667 0.333 0.500 Cl
0.000 0.000 0.749 Cl
```



[10]
The following is a PBE calculation of FeCl after structural relaxation, from Alexandria.

Computed properties:
**Formation energy (no corrections)**: -92 meV/atom
**Total magnetization**: 18.0 μB/cell
**Calculated volume**: 20.6 Å³ per atom
**Energy**: -62.96 eV per cell

POSCAR file:
```
FeCl
1.0
-2.445 -8.548 1.993
6.507 1.552 -6.186
2.386 -0.103 2.484
Fe Cl
6 6
direct
0.081 0.601 0.750 Fe
0.399 0.480 0.750 Fe
0.520 0.919 0.750 Fe
0.480 0.081 0.250 Fe
0.919 0.399 0.250 Fe
0.601 0.520 0.250 Fe
0.362 0.261 0.250 Cl
0.899 0.638 0.250 Cl
0.101 0.362 0.750 Cl
0.739 0.101 0.250 Cl
0.638 0.739 0.750 Cl
0.261 0.899 0.750 Cl
```



[11]
The following is a PBE calculation of Fe3Cl after structural relaxation, from Alexandria.

Computed properties:
**Formation energy (no corrections)**: 529 meV/atom
**Relative energy among the computed polymorphs**: 376 meV per atom
**Total magnetization**: 8.6 μB/cell
**Calculated volume**: 13.5 Å³ per atom
**Energy**: -25.12 eV per cell

POSCAR file:
```
Fe3Cl
1.0
4.527 -0.007 0.000
-1.580 4.242 0.000
0.000 0.000 2.815
Fe Cl
3 1
direct
0.500 0.000 0.500 Fe
0.500 0.500 0.000 Fe
0.000 0.500 0.500 Fe
0.000 0.000 0.000 Cl
```



[12]
The following is a PBE calculation of Fe3Cl after structural relaxation, from Alexandria.

Computed properties:
**Formation energy (no corrections)**: 415 meV/atom
**Relative energy among the computed polymorphs**: 262 meV per atom
**Total magnetization**: 8.9 μB/cell
**Calculated volume**: 16.2 Å³ per atom
**Energy**: -25.58 eV per cell

POSCAR file:
```
Fe3Cl
1.0
3.093 0.000 0.000
0.000 3.796 0.000
0.000 0.000 5.533
Fe Cl
3 1
direct
0.000 0.500 0.404 Fe
0.500 0.000 0.451 Fe
0.500 0.500 0.736 Fe
0.000 0.000 0.076 Cl
```



Please write out number 3 again, unchanged.
The following is a PBE calculation of FeCl after structural relaxation, from Alexandria.

Computed properties:
**Formation energy (no corrections)**: -107 meV/atom
**Total magnetization**: 6.0 μB/cell
**Calculated volume**: 24.2 Å³ per atom
**Energy**: -21.05 eV per cell

POSCAR file:
```
FeCl
1.0
-1.217 -2.551 2.940
2.982 -0.069 1.174
-1.583 5.781 4.360
Fe Cl
2 2
direct
0.500 0.500 0.546 Fe
0.500 0.000 0.787 Fe
0.000 0.500 0.423 Cl
0.000 0.000 0.911 Cl
```



Question: The highest calculated volume belongs to which entry?
Answer: Fe6Cl7



Question: Look up the energy of the fourth one.
Answer: -37.81 eV per cell